(1)
GaTe2N PBE relaxed; E_form (uncorrected) = 2.6 eV per formula unit; ρ = 4.732 g/cm3; M_tot = 0.000 μB/cell; offset from the most stable computed form = 40 meV/atom
1.0
2.5870 0.0000 6.8400
-1.2935 2.2404 6.8400
-1.2935 -2.2404 6.8400
Te N Ga
2 1 1
direct
0.9060 0.9060 0.9060
0.0940 0.0940 0.0940
0.0000 0.0000 0.0000
0.5000 0.5000 0.5000


(2)
GaTe2N PBE relaxed; E_form (uncorrected) = 2.5 eV per formula unit; ρ = 5.455 g/cm3; M_tot = 0.000 μB/cell; offset from the most stable computed form = 0 meV/atom
1.0
-3.9193 -2.8861 2.9625
-0.9268 -3.3647 -4.5041
2.0730 -7.1187 1.2872
N Ga Te
2 2 4
direct
0.5000 0.5000 0.0000
0.2500 0.7500 0.5000
0.7500 0.2500 0.5000
0.0000 0.0000 0.0000
0.2177 0.6250 0.2500
0.5323 0.1250 0.2500
0.3750 0.4677 0.7500
0.8750 0.7823 0.7500


(3)
GaTeN PBE relaxed; E_form (uncorrected) = 0.3 eV per formula unit; ρ = 5.106 g/cm3; M_tot = 0.000 μB/cell; offset from the most stable computed form = 155 meV/atom
1.0
4.9222 1.0022 0.0633
3.3272 3.7634 0.0633
2.3298 1.3459 9.0844
Te Ga N
2 2 2
direct
0.0229 0.0229 0.0051
0.7290 0.7290 0.3025
0.4925 0.4925 0.6866
0.2613 0.2613 0.6206
0.0576 0.0576 0.7763
0.6961 0.6961 0.5310


(4)
GaTeN2 PBE relaxed; E_form (uncorrected) = 5.8 eV per formula unit; ρ = 7.409 g/cm3; M_tot = 0.000 μB/cell; offset from the most stable computed form = 905 meV/atom
1.0
0.0000 2.9338 2.9338
2.9338 0.0000 2.9338
2.9338 2.9338 0.0000
N Te Ga
2 1 1
direct
0.7500 0.7500 0.7500
0.2500 0.2500 0.2500
0.5000 0.5000 0.5000
0.0000 0.0000 0.0000


(5)
GaTeN PBE relaxed; E_form (uncorrected) = 0.0 eV per formula unit; ρ = 4.872 g/cm3; M_tot = 0.000 μB/cell; offset from the most stable computed form = 36 meV/atom
1.0
-0.0143 5.0683 2.3099
-2.8607 0.5675 -1.2628
-7.0813 -9.2047 11.9051
Te Ga N
4 4 4
direct
0.1247 0.5000 0.3915
0.9331 0.5000 0.5501
0.9331 0.0000 0.0501
0.1247 0.0000 0.8915
0.3456 0.5000 0.7097
0.3456 0.0000 0.2097
0.8556 0.5000 0.2343
0.8556 0.0000 0.7343
0.5126 0.0000 0.7174
0.5126 0.5000 0.2174
0.9921 0.0000 0.1912
0.9921 0.5000 0.6912


(6)
VGaTe2N PBE relaxed; E_form (uncorrected) = 3.8 eV per formula unit; ρ = 5.794 g/cm3; M_tot = 2.442 μB/cell; offset from the most stable computed form = 736 meV/atom
1.0
-1.6137 -2.8446 4.5765
2.1153 -4.7282 -2.1930
3.1112 0.6855 1.5231
N Ga Te V
1 1 2 1
direct
0.0000 0.0000 0.5000
0.0000 0.0000 0.0000
0.0000 0.5000 0.0000
0.5000 0.0000 0.0000
0.5000 0.5000 0.5000